ScIrO2 | Alexandria | PBE | relaxed; SG = R-3m; energy relative to the lowest polymorph listed for this composition = 0.0 meV/atom; formation energy from raw total energies = -7.7 eV/f.u.
1.0
1.517 0.876 6.243
-1.517 0.876 6.243
0.000 -1.752 6.243
Sc Ir O
1 1 2
Cartesian
0.000 0.000 0.000
0.000 0.000 9.364
0.000 0.000 7.341
0.000 0.000 11.388